Here is a relaxed RbSnI2N crystal from Alexandria. Energies are from PBE-GGA.

Cell lengths 6.3712, 6.3712, 4.0142 Å; angles 90.00, 90.00, 90.00 degrees
With the nearest neighbours (Å) after each atom.
Positions (direct):
Rb  0.0000  0.0000  0.0000  8 I 3.77, 2 Rb 4.01
Sn  0.5000  0.5000  0.5000  2 N 2.01
I  0.0000  0.5000  0.5000  2 Sn 3.19
I  0.5000  0.0000  0.5000  2 Sn 3.19
N  0.5000  0.5000  0.0000  2 Sn 2.01

Output
Its space group is P4/mmm. The uncorrected formation energy is -0.12 eV/atom.

Here is a relaxed ReHg2Pb2O6 crystal from Alexandria. Energies are from PBE-GGA.

Cell lengths 6.1920, 6.1920, 7.0691 Å; angles 93.90, 93.90, 123.49 degrees
With the nearest neighbours (Å) after each atom.
Positions (direct):
Re  0.0000  0.0000  0.0000  6 O 1.92-1.93
Hg  0.2238  0.7762  0.5000  2 O 2.63
Hg  0.7762  0.2238  0.5000  2 O 2.63
Pb  0.3367  0.6633  0.0000  6 O 2.42-2.65
Pb  0.6633  0.3367  0.0000  6 O 2.42-2.65
O  0.0268  0.7735  0.1578  1 Re 1.92
O  0.2265  0.9732  0.8422  1 Re 1.92
O  0.3052  0.3052  0.1437  1 Re 1.93
O  0.6948  0.6948  0.8563  1 Re 1.93
O  0.7735  0.0268  0.1578  1 Re 1.92
O  0.9732  0.2265  0.8422  1 Re 1.92

Output
Its space group is C2/m. The uncorrected formation energy is -0.99 eV/atom.

Here is a relaxed La6Zn2In crystal from Alexandria. Energies are from PBE-GGA.

Cell lengths 9.0375, 9.0375, 9.0375 Å; angles 111.71, 111.21, 105.57 degrees
With the nearest neighbours (Å) after each atom.
Positions (direct):
La  0.0350  0.8131  0.2219  3 Zn 3.10-3.33
La  0.2429  0.5374  0.2945  2 Zn 3.13-3.35, 2 In 3.38-3.50
La  0.2429  0.9484  0.7055  2 Zn 3.13-3.35, 2 In 3.38-3.50
La  0.2746  0.3064  0.5810  3 Zn 3.29-3.32, 1 In 3.42
La  0.2746  0.6936  0.9682  3 Zn 3.29-3.32, 1 In 3.42
La  0.4088  0.1869  0.2219  3 Zn 3.10-3.33
La  0.5912  0.8131  0.7781  3 Zn 3.10-3.33
La  0.7254  0.3064  0.0318  3 Zn 3.29-3.32, 1 In 3.42
La  0.7254  0.6936  0.4190  3 Zn 3.29-3.32, 1 In 3.42
La  0.7571  0.0516  0.2945  2 Zn 3.13-3.35, 2 In 3.38-3.50
La  0.7571  0.4626  0.7055  2 Zn 3.13-3.35, 2 In 3.38-3.50
La  0.9650  0.1869  0.7781  3 Zn 3.10-3.33
Zn  0.0000  0.1305  0.1305  1 Zn 2.65
Zn  0.0000  0.8695  0.8695  1 Zn 2.65
Zn  0.3810  0.3810  0.0000  1 Zn 2.60
Zn  0.6190  0.6190  0.0000  1 Zn 2.60
In  0.0000  0.5000  0.5000  8 La 3.38-3.42, 2 Zn 3.75
In  0.5000  0.0000  0.5000  12 La 3.50-3.87

Output
The final energy is -4.095 eV per atom. Its space group is Immm.

Here is a relaxed YBiOs2Pt crystal from Alexandria. Energies are from PBE-GGA.

Cell lengths 4.9309, 4.9309, 5.1145 Å; angles 90.00, 90.00, 90.00 degrees
With the nearest neighbours (Å) after each atom.
Positions (direct):
Y  0.0000  0.0000  0.0000  4 Os 2.47, 2 Pt 2.56
Bi  0.5000  0.5000  0.5000  4 Pt 3.49, 8 Os 3.55
Os  0.0000  0.5000  0.0000  2 Y 2.47
Os  0.5000  0.0000  0.0000  2 Y 2.47
Pt  0.0000  0.0000  0.5000  2 Y 2.56

Output
The final energy is -5.776 eV per atom. Its space group is P4/mmm.

Here is a relaxed SrTlTc4 crystal from Alexandria. Energies are from PBE-GGA.

Cell lengths 5.4172, 5.4172, 5.4172 Å; angles 60.00, 60.00, 60.00 degrees
With the nearest neighbours (Å) after each atom.
Positions (direct):
Sr  0.0000  0.0000  0.0000  12 Tc 3.18, 4 Tl 3.32
Tl  0.2500  0.2500  0.2500  12 Tc 3.17, 4 Sr 3.32
Tc  0.1292  0.6236  0.6236  6 Tc 2.68-2.74
Tc  0.6236  0.1292  0.6236  6 Tc 2.68-2.74
Tc  0.6236  0.6236  0.1292  6 Tc 2.68-2.74
Tc  0.6236  0.6236  0.6236  6 Tc 2.68-2.74

Output
The final energy is -7.035 eV per atom. Its space group is F-43m.

Here is a relaxed Sc2TcAgW crystal from Alexandria. Energies are from PBE-GGA.

Cell lengths 4.9988, 4.9988, 4.6798 Å; angles 90.00, 90.00, 90.00 degrees
With the nearest neighbours (Å) after each atom.
Positions (direct):
Sc  0.0000  0.5000  0.0000  2 Tc 2.50
Sc  0.5000  0.0000  0.0000  2 Tc 2.50
Tc  0.0000  0.0000  0.0000  2 W 2.34, 4 Sc 2.50
Ag  0.5000  0.5000  0.5000  8 Sc 3.42, 4 W 3.53
W  0.0000  0.0000  0.5000  2 Tc 2.34

Output
The final energy is -7.026 eV per atom. Its space group is P4/mmm.

Here is a relaxed SnS4Br crystal from Alexandria. Energies are from PBE-GGA.

Cell lengths 10.3690, 10.3690, 4.5760 Å; angles 96.70, 96.70, 129.02 degrees
With the nearest neighbours (Å) after each atom.
Positions (direct):
Sn  0.1624  0.8376  0.7500  4 S 2.62-2.87
Sn  0.8376  0.1624  0.2500  4 S 2.62-2.87
S  0.0720  0.3841  0.9120  1 S 2.03
S  0.0905  0.2302  0.6410  1 S 2.03
S  0.2302  0.0905  0.1410  1 S 2.03
S  0.3841  0.0720  0.4120  1 S 2.03
S  0.6159  0.9280  0.5880  1 S 2.03
S  0.7698  0.9095  0.8590  1 S 2.03
S  0.9095  0.7698  0.3590  1 S 2.03
S  0.9280  0.6159  0.0880  1 S 2.03
Br  0.3565  0.6435  0.2500  2 S 2.51
Br  0.6435  0.3565  0.7500  2 S 2.51

Output
Its space group is C2/c. The uncorrected formation energy is 0.02 eV/atom.

Here is a relaxed Ce2Pm3Ge4 crystal from Alexandria. Energies are from PBE-GGA.

Cell lengths 8.4276, 8.4276, 8.1846 Å; angles 90.00, 90.00, 122.21 degrees
With the nearest neighbours (Å) after each atom.
Positions (direct):
Ce  0.0913  0.9087  0.9669  1 Ce 2.75, 1 Ge 3.00
Ce  0.4087  0.5913  0.4669  1 Ce 2.75, 1 Ge 3.00
Ce  0.5913  0.4087  0.5331  1 Ce 2.75, 1 Ge 3.00
Ce  0.9087  0.0913  0.0331  1 Ce 2.75, 1 Ge 3.00
Pm  0.0000  0.0000  0.5000  6 Ge 2.90-3.06
Pm  0.0258  0.4742  0.7500  5 Ge 2.96-3.07
Pm  0.4742  0.0258  0.2500  5 Ge 2.96-3.07
Pm  0.5000  0.5000  0.0000  6 Ge 2.90-3.06
Pm  0.5258  0.9742  0.7500  5 Ge 2.96-3.07
Pm  0.9742  0.5258  0.2500  5 Ge 2.96-3.07
Ge  0.2071  0.7929  0.5185  5 Pm 2.96-3.06, 1 Ce 3.00
Ge  0.2336  0.2664  0.7500  3 Pm 2.90-3.07, 2 Ce 3.13
Ge  0.2664  0.2336  0.2500  3 Pm 2.90-3.07, 2 Ce 3.13
Ge  0.2929  0.7071  0.0185  5 Pm 2.96-3.06, 1 Ce 3.00
Ge  0.7071  0.2929  0.9815  5 Pm 2.96-3.06, 1 Ce 3.00
Ge  0.7336  0.7664  0.7500  3 Pm 2.90-3.07, 2 Ce 3.13
Ge  0.7664  0.7336  0.2500  3 Pm 2.90-3.07, 2 Ce 3.13
Ge  0.7929  0.2071  0.4815  5 Pm 2.96-3.06, 1 Ce 3.00

Output
The final energy is -5.567 eV per atom. Its space group is Cmce.

Here is a relaxed Tb5Pm6Pr2 crystal from Alexandria. Energies are from PBE-GGA.

Cell lengths 11.8689, 20.6020, 3.6501 Å; angles 90.00, 90.00, 90.00 degrees
With the nearest neighbours (Å) after each atom.
Positions (direct):
Tb  0.0000  0.0000  0.0000  6 Pm 3.37-3.45, 4 Tb 3.65-3.74
Tb  0.0914  0.2781  0.0000  5 Pm 3.36-3.52, 4 Pr 3.59-3.61, 2 Tb 3.65
Tb  0.1994  0.5548  0.0000  7 Pm 3.60-4.02, 3 Tb 3.65-3.74, 2 Pr 3.81
Tb  0.3006  0.0548  0.0000  7 Pm 3.60-4.02, 3 Tb 3.65-3.74, 2 Pr 3.81
Tb  0.4086  0.7781  0.0000  5 Pm 3.36-3.52, 4 Pr 3.59-3.61, 2 Tb 3.65
Tb  0.5000  0.5000  0.0000  6 Pm 3.37-3.45, 4 Tb 3.65-3.74
Tb  0.5914  0.2219  0.0000  5 Pm 3.36-3.52, 4 Pr 3.59-3.61, 2 Tb 3.65
Tb  0.6994  0.9452  0.0000  7 Pm 3.60-4.02, 3 Tb 3.65-3.74, 2 Pr 3.81
Tb  0.8006  0.4452  0.0000  7 Pm 3.60-4.02, 3 Tb 3.65-3.74, 2 Pr 3.81
Tb  0.9086  0.7219  0.0000  5 Pm 3.36-3.52, 4 Pr 3.59-3.61, 2 Tb 3.65
Pm  0.0598  0.4230  0.5000  5 Pm 3.48-3.75, 6 Tb 3.52-3.67
Pm  0.0787  0.1349  0.5000  1 Pr 3.43, 6 Tb 3.45-3.60, 4 Pm 3.56-3.65
Pm  0.1784  0.8727  0.0000  2 Tb 3.36-3.37, 6 Pm 3.56-3.75, 2 Pr 3.71
Pm  0.3216  0.3727  0.0000  2 Tb 3.36-3.37, 6 Pm 3.56-3.75, 2 Pr 3.71
Pm  0.4213  0.6349  0.5000  1 Pr 3.43, 6 Tb 3.45-3.60, 4 Pm 3.56-3.65
Pm  0.4402  0.9230  0.5000  5 Pm 3.48-3.75, 6 Tb 3.52-3.67
Pm  0.5598  0.0770  0.5000  5 Pm 3.48-3.75, 6 Tb 3.52-3.67
Pm  0.5787  0.3651  0.5000  1 Pr 3.43, 6 Tb 3.45-3.60, 4 Pm 3.56-3.65
Pm  0.6784  0.6273  0.0000  2 Tb 3.36-3.37, 6 Pm 3.56-3.75, 2 Pr 3.71
Pm  0.8216  0.1273  0.0000  2 Tb 3.36-3.37, 6 Pm 3.56-3.75, 2 Pr 3.71
Pm  0.9213  0.8651  0.5000  1 Pr 3.43, 6 Tb 3.45-3.60, 4 Pm 3.56-3.65
Pm  0.9402  0.5770  0.5000  5 Pm 3.48-3.75, 6 Tb 3.52-3.67
Pr  0.1689  0.7160  0.5000  3 Pm 3.43-3.71, 6 Tb 3.59-3.81, 2 Pr 3.65
Pr  0.3311  0.2160  0.5000  3 Pm 3.43-3.71, 6 Tb 3.59-3.81, 2 Pr 3.65
Pr  0.6689  0.7840  0.5000  3 Pm 3.43-3.71, 6 Tb 3.59-3.81, 2 Pr 3.65
Pr  0.8311  0.2840  0.5000  3 Pm 3.43-3.71, 6 Tb 3.59-3.81, 2 Pr 3.65

Output
The final energy is -4.611 eV per atom. Its space group is Pbam.

Values for calculated density, Mg/m³, ordered as above
4.81; 8.15; 6.33; 11.66; 10.10; 6.81; 2.95; 6.79; 7.24